{
  "formula": "ErGa6Fe6",
  "functional": "PBE",
  "state": "optimized geometry",
  "final_energy_ev_per_fu": -75.7,
  "n_ef_per_ev_cell": 8.70,
  "delta_e_f_ev_per_atom": -0.17,
  "spacegroup": "Fmmm (69)",
  "cell": [[-0.486, -5.503, 6.545], [0.627, 0.955, 6.520], [-5.001, -3.705, 2.051]],
  "species": ["Er", "Ga", "Ga", "Ga", "Ga", "Ga", "Ga", "Fe", "Fe", "Fe", "Fe", "Fe", "Fe"],
  "fractional_positions": [[0.000, 0.000, 0.000], [0.500, 0.500, 0.000], [0.000, 0.000, 0.500], [0.983, 0.649, 0.351], [0.017, 0.351, 0.649], [0.351, 0.017, 0.983], [0.649, 0.983, 0.017], [0.506, 0.708, 0.292], [0.494, 0.292, 0.708], [0.292, 0.494, 0.506], [0.708, 0.506, 0.494], [0.000, 0.500, 0.000], [0.500, 0.000, 0.500]]
}

{
  "formula": "Er2GaFe",
  "functional": "PBE",
  "state": "optimized geometry",
  "final_energy_ev_per_fu": -19.2,
  "n_ef_per_ev_cell": 3.33,
  "delta_e_f_ev_per_atom": 0.36,
  "spacegroup": "R-3m (166)",
  "cell": [[-1.516, -1.656, 2.362], [1.711, -1.926, 1.996], [1.415, 6.475, 7.697]],
  "species": ["Fe", "Ga", "Er", "Er"],
  "fractional_positions": [[0.000, 0.000, 0.000], [0.500, 0.500, 0.500], [0.089, 0.089, 0.734], [0.911, 0.911, 0.266]]
}

{
  "formula": "ErGa6Fe6",
  "functional": "PBE",
  "state": "optimized geometry",
  "final_energy_ev_per_fu": -77.6,
  "n_ef_per_ev_cell": 7.10,
  "delta_e_f_ev_per_atom": -0.32,
  "spacegroup": "Immm (71)",
  "cell": [[-4.363, 2.471, 0.119], [-5.068, -3.922, 1.337], [-1.489, 2.172, 5.993]],
  "species": ["Er", "Ga", "Ga", "Ga", "Ga", "Ga", "Ga", "Fe", "Fe", "Fe", "Fe", "Fe", "Fe"],
  "fractional_positions": [[0.000, 0.000, 0.000], [0.344, 0.656, 0.656], [0.656, 0.344, 0.344], [0.000, 0.333, 0.667], [0.000, 0.667, 0.333], [0.317, 0.183, 0.183], [0.683, 0.817, 0.817], [0.000, 0.500, 0.000], [0.500, 0.500, 0.000], [0.000, 0.000, 0.500], [0.500, 0.000, 0.500], [0.500, 0.757, 0.243], [0.500, 0.243, 0.757]]
}

{
  "formula": "Er2Ga4Fe",
  "functional": "PBE",
  "state": "optimized geometry",
  "final_energy_ev_per_fu": -31.6,
  "n_ef_per_ev_cell": 4.20,
  "delta_e_f_ev_per_atom": -0.28,
  "spacegroup": "I4/mmm (139)",
  "cell": [[4.466, 0.000, 0.000], [0.000, 4.466, 0.000], [-2.233, -2.233, 7.323]],
  "species": ["Er", "Er", "Ga", "Ga", "Ga", "Ga", "Fe"],
  "fractional_positions": [[0.355, 0.355, 0.711], [0.645, 0.645, 0.289], [0.162, 0.162, 0.324], [0.838, 0.838, 0.676], [0.000, 0.500, 0.000], [0.500, 0.000, 0.000], [0.000, 0.000, 0.000]]
}

{
  "formula": "ErGa3Fe2",
  "functional": "PBE",
  "state": "optimized geometry",
  "final_energy_ev_per_fu": -32.5,
  "n_ef_per_ev_cell": 8.22,
  "delta_e_f_ev_per_atom": -0.33,
  "spacegroup": "Cmcm (63)",
  "cell": [[-3.372, -3.827, -0.896], [3.856, -2.431, -4.127], [2.041, -2.966, 4.984]],
  "species": ["Er", "Er", "Ga", "Ga", "Ga", "Ga", "Ga", "Ga", "Fe", "Fe", "Fe", "Fe"],
  "fractional_positions": [[0.250, 0.353, 0.353], [0.750, 0.647, 0.647], [0.750, 0.452, 0.091], [0.750, 0.091, 0.452], [0.250, 0.548, 0.909], [0.750, 0.025, 0.025], [0.250, 0.975, 0.975], [0.250, 0.909, 0.548], [0.500, 0.773, 0.227], [0.000, 0.773, 0.227], [0.000, 0.227, 0.773], [0.500, 0.227, 0.773]]
}

{
  "formula": "ErGaFe4",
  "functional": "PBE",
  "state": "optimized geometry",
  "final_energy_ev_per_fu": -42.2,
  "n_ef_per_ev_cell": 7.11,
  "delta_e_f_ev_per_atom": -0.12,
  "spacegroup": "F-43m (216)",
  "cell": [[-2.904, 3.598, 1.728], [-4.641, -1.006, 1.348], [-1.256, 0.080, 4.773]],
  "species": ["Fe", "Fe", "Fe", "Fe", "Ga", "Er"],
  "fractional_positions": [[0.624, 0.624, 0.128], [0.624, 0.128, 0.624], [0.624, 0.624, 0.624], [0.128, 0.624, 0.624], [0.250, 0.250, 0.250], [0.000, 0.000, 0.000]]
}